# 1
Nb3PtC: relaxed, GGA-PBE.

Cell lengths 4.277, 4.277, 4.277 Å; angles 90.00, 90.00, 90.00 degrees
Fractional positions:
1 Nb 0.000 0.000 0.500
2 Nb 0.500 0.000 0.000
3 Nb 0.000 0.500 0.000
4 C 0.000 0.000 0.000
5 Pt 0.500 0.500 0.500

## Properties
**Total energy**: -47.5 eV/cell
**Formation enthalpy at 0 K**: -1.978 eV/f.u.
**Energy above the lowest structure with this stoichiometry**: 114.4 meV per atom

***

# 2
AcThP2: relaxed, GGA-PBE.

Cell lengths 4.267, 4.267, 7.462 Å; angles 73.43, 73.43, 59.99 degrees
Fractional positions:
1 Ac 0.500 0.500 0.500
2 P 0.257 0.257 0.229
3 P 0.743 0.743 0.771
4 Th 0.000 0.000 0.000

## Properties
**Total energy**: -28.4 eV/cell
**Formation enthalpy at 0 K**: -6.028 eV/f.u.
**Energy above the lowest structure with this stoichiometry**: 0.0 meV per atom

***

# 3
Tb3AuS: relaxed, GGA-PBE.

Cell lengths 3.849, 8.895, 14.890 Å; angles 90.00, 90.00, 90.00 degrees
Fractional positions:
1 Tb 0.250 0.820 0.710
2 Tb 0.750 0.989 0.892
3 Tb 0.750 0.180 0.290
4 Tb 0.250 0.659 0.951
5 Tb 0.250 0.011 0.108
6 Tb 0.750 0.680 0.210
7 Tb 0.250 0.159 0.549
8 Tb 0.250 0.511 0.392
9 Tb 0.750 0.341 0.049
10 Tb 0.250 0.320 0.790
11 Tb 0.750 0.841 0.451
12 Tb 0.750 0.489 0.608
13 Au 0.750 0.094 0.695
14 Au 0.250 0.906 0.305
15 Au 0.750 0.594 0.805
16 Au 0.250 0.406 0.195
17 S 0.250 0.182 0.954
18 S 0.750 0.818 0.046
19 S 0.750 0.318 0.454
20 S 0.250 0.682 0.546

## Properties
**ΔE_f (raw)**: -1150 meV/atom
**Total energy**: -108.2 eV/cell

***

# 4
MnTeAu2: relaxed, GGA-PBE.

Cell lengths 4.843, 4.843, 4.843 Å; angles 60.00, 60.00, 60.00 degrees
Fractional positions:
1 Au 0.000 0.000 0.000
2 Au 0.250 0.250 0.250
3 Mn 0.500 0.500 0.500
4 Te 0.750 0.750 0.750

## Properties
**ΔE_f (raw)**: 204 meV/atom
**Total energy**: -18.0 eV/cell

***

# 5
Ca3Be4: relaxed, GGA-PBE.

Cell lengths 6.928, 6.928, 4.235 Å; angles 90.00, 90.00, 120.00 degrees
Fractional positions:
1 Ca 0.000 0.500 0.000
2 Ca 0.500 0.000 0.000
3 Ca 0.500 0.500 0.000
4 Be 0.000 0.000 0.252
5 Be 0.333 0.667 0.500
6 Be 0.667 0.333 0.500
7 Be 0.000 0.000 0.748

## Properties
**Total energy**: -14.8 eV/cell
**Formation enthalpy at 0 K**: 6.069 eV/f.u.

***

# 6
ZnCdBi2: relaxed, GGA-PBE.

Cell lengths 6.810, 6.810, 7.665 Å; angles 63.63, 63.63, 90.00 degrees
Fractional positions:
1 Bi 0.151 0.625 0.250
2 Bi 0.875 0.849 0.750
3 Bi 0.599 0.125 0.250
4 Bi 0.375 0.401 0.750
5 Zn 0.500 0.500 0.000
6 Zn 0.250 0.750 0.500
7 Cd 0.000 0.000 0.000
8 Cd 0.750 0.250 0.500

## Properties
**Total energy**: -18.0 eV/cell
**Formation enthalpy at 0 K**: 0.938 eV/f.u.
**Energy above the lowest structure with this stoichiometry**: 109.6 meV per atom

***

# 7
AlInIr: relaxed, GGA-PBE.

Cell lengths 4.323, 4.323, 3.241 Å; angles 90.00, 90.00, 120.00 degrees
Fractional positions:
1 Al 0.000 0.000 0.834
2 In 0.667 0.333 0.333
3 Ir 0.333 0.667 0.833

## Properties
**Total energy**: -15.9 eV/cell
**Formation enthalpy at 0 K**: -0.598 eV/f.u.

***

# 8
KY2Pd: relaxed, GGA-PBE.

Cell lengths 8.762, 8.762, 7.138 Å; angles 52.14, 52.14, 90.00 degrees
Fractional positions:
1 Y 0.375 0.288 0.750
2 Y 0.038 0.625 0.250
3 Y 0.875 0.962 0.750
4 Y 0.712 0.125 0.250
5 Pd 0.750 0.250 0.500
6 Pd 0.000 0.000 0.000
7 K 0.500 0.500 0.000
8 K 0.250 0.750 0.500

## Properties
**Total energy**: -37.5 eV/cell
**Formation enthalpy at 0 K**: 0.479 eV/f.u.
**Energy above the lowest structure with this stoichiometry**: 0.0 meV per atom

***

# 9
Y5CuRh2: relaxed, GGA-PBE.

Cell lengths 7.643, 7.643, 8.609 Å; angles 116.35, 116.35, 90.00 degrees
Fractional positions:
1 Rh 0.137 0.363 0.000
2 Rh 0.863 0.637 0.000
3 Rh 0.363 0.863 0.000
4 Rh 0.637 0.137 0.000
5 Y 0.500 0.500 0.000
6 Y 0.803 0.977 0.280
7 Y 0.303 0.803 0.280
8 Y 0.477 0.303 0.280
9 Y 0.197 0.023 0.720
10 Y 0.977 0.477 0.280
11 Y 0.023 0.523 0.720
12 Y 0.000 0.000 0.000
13 Y 0.697 0.197 0.720
14 Y 0.523 0.697 0.720
15 Cu 0.750 0.750 0.500
16 Cu 0.250 0.250 0.500

## Properties
**Total energy**: -110.5 eV/cell
**Formation enthalpy at 0 K**: -4.115 eV/f.u.

***

# 10
TbYBe: relaxed, GGA-PBE.

Cell lengths 3.479, 3.479, 6.513 Å; angles 105.49, 105.49, 90.00 degrees
Fractional positions:
1 Be 0.667 0.667 0.334
2 Y 0.301 0.301 0.602
3 Tb 0.032 0.032 0.063

## Properties
**Total energy**: -14.6 eV/cell
**Formation enthalpy at 0 K**: 0.248 eV/f.u.

***

# 11
CaTb2TlN: relaxed, GGA-PBE.

Cell lengths 4.878, 4.866, 4.866 Å; angles 90.00, 90.00, 90.00 degrees
Fractional positions:
1 Tb 0.000 0.000 0.500
2 Tb 0.000 0.500 0.000
3 Tl 0.500 0.500 0.500
4 N 0.000 0.000 0.000
5 Ca 0.500 0.000 0.000

## Properties
**ΔE_f (raw)**: -869 meV/atom
**Total energy**: -26.3 eV/cell

***

# 12
CsMg14C: relaxed, GGA-PBE.

Cell lengths 6.700, 6.700, 10.564 Å; angles 90.00, 90.00, 124.73 degrees
Fractional positions:
1 Mg 0.657 0.817 0.751
2 Mg 0.835 0.165 0.000
3 Mg 0.663 0.337 0.223
4 Mg 0.317 0.174 0.000
5 Mg 0.165 0.835 0.256
6 Mg 0.305 0.185 0.500
7 Mg 0.323 0.677 0.000
8 Mg 0.657 0.817 0.249
9 Mg 0.183 0.343 0.249
10 Mg 0.826 0.683 0.000
11 Mg 0.663 0.337 0.777
12 Mg 0.815 0.695 0.500
13 Mg 0.183 0.343 0.751
14 Mg 0.165 0.835 0.744
15 C 0.440 0.560 0.500
16 Cs 0.804 0.196 0.500

## Properties
**Total energy**: -26.8 eV/cell
**Formation enthalpy at 0 K**: 5.601 eV/f.u.
**Energy above the lowest structure with this stoichiometry**: 0.0 meV per atom

***

Q: The highest total energy belongs to which entry?
A: TbYBe

***

Q: Number 8 is which compound?
A: KY2Pd

***

Q: Look up the total energy of the eighth one.
A: -37.5 eV/cell

***

Q: Which value of total energy does entry 6 give?
A: -18.0 eV/cell